1.
DFT (PBE) results for CaYSb2Cl after structural relaxation.

```
CaYSb2Cl
1.0
5.5236 0.0000 0.0000
0.0000 5.5236 0.0000
0.0000 0.0000 6.2177
Ca Y Sb Cl
1 1 2 1
Cartesian
0.0000 0.0000 0.0000
0.0000 0.0000 3.1088
0.0000 2.7618 0.0000
2.7618 0.0000 0.0000
2.7618 2.7618 3.1088
```

- Total moment: 0.4 μB per cell
- DOS(E_F): 2.14 states/eV per cell
- VASP energy: -3.3801 eV/atom


2.
DFT (PBE) results for MgMnIr after structural relaxation.

```
MgMnIr
1.0
4.6598 -2.0306 0.0000
4.6598 2.0306 0.0000
-4.3384 0.0000 4.8872
Mg Mn Ir
2 2 2
Cartesian
-0.7914 0.0000 1.6011
5.7726 0.0000 3.2861
-0.6831 0.0000 4.5538
5.6643 0.0000 0.3334
1.9261 0.0000 1.2775
3.0550 0.0000 3.6098
```

- Total moment: 0.0 μB per cell
- ΔH_f (0 K): -0.15 eV/f.u.
- DOS(E_F): 3.75 states/eV per cell
- VASP energy: -6.5912 eV/atom


3.
DFT (PBE) results for Sr5HgRh after structural relaxation.

```
Sr5HgRh
1.0
8.7009 0.0000 0.0000
0.0000 4.6247 0.0000
-0.5786 0.0000 14.0782
Sr Hg Rh
10 2 2
Cartesian
0.4777 1.1562 2.1712
1.0234 3.4685 8.0219
2.9235 3.4685 0.3068
2.5669 1.1562 11.0726
2.9485 1.1562 5.0777
5.1737 3.4685 9.0005
5.5554 3.4685 3.0056
5.1988 1.1562 13.7713
7.0988 1.1562 6.0563
7.6446 3.4685 11.9070
0.3226 3.4685 4.6462
7.7997 1.1562 9.4320
3.7506 1.1562 2.1298
4.3716 3.4685 11.9483
```

- Total moment: 0.0 μB per cell
- ΔH_f (0 K): -1.59 eV/f.u.
- DOS(E_F): 11.36 states/eV per cell
- VASP energy: -2.5212 eV/atom